No. 1
Entry from Alexandria via LeMat-Bulk: an optimized crystal structure of LiNiCl2 (GGA-PBE).

The structure in POSCAR format:
```
LiNiCl2
1.0
0.000 3.185 3.185
3.185 0.000 3.185
3.185 3.185 0.000
Li Ni Cl
1 1 2
Cartesian
0.000 0.000 0.000
3.185 3.185 3.185
1.592 1.592 1.592
4.777 4.777 4.777
```

Calculated values
Polymorph energy (0 for the lowest one) (eV per formula unit): 1.57
Formation energy from raw total energies (eV per atom): -0.5007
Total moment (Bohr magnetons per cell): 1.000
Space group: Fm-3m (225)

---

No. 2
Entry from Alexandria via LeMat-Bulk: an optimized crystal structure of Al2ZnIr3 (GGA-PBE).

The structure in POSCAR format:
```
Al2ZnIr3
1.0
3.023 0.000 0.000
0.000 3.023 0.000
0.000 0.000 9.064
Al Zn Ir
2 1 3
Cartesian
0.000 0.000 1.545
0.000 0.000 7.519
0.000 0.000 4.532
1.511 1.511 0.000
1.511 1.511 2.961
1.511 1.511 6.103
```

Calculated values
Energy relative to the elements (meV per atom): -741.5
Total moment (Bohr magnetons per cell): 0.000
Space group: P4/mmm (123)

---

No. 3
Entry from Alexandria via LeMat-Bulk: an optimized crystal structure of CdGaSnMo2 (GGA-PBE).

The structure in POSCAR format:
```
CdGaSnMo2
1.0
5.196 0.000 0.000
0.000 5.196 0.000
0.000 0.000 5.230
Cd Ga Sn Mo
1 1 1 2
Cartesian
0.000 0.000 0.000
2.598 2.598 0.000
0.000 0.000 2.615
0.000 2.598 2.615
2.598 0.000 2.615
```

Calculated values
Energy relative to the elements (meV per atom): 1699.3
Total moment (Bohr magnetons per cell): 5.685
Space group: P4/mmm (123)

---

No. 4
Entry from Alexandria via LeMat-Bulk: an optimized crystal structure of CsNa3O (GGA-PBE).

The structure in POSCAR format:
```
CsNa3O
1.0
5.306 0.000 0.000
0.000 5.306 0.000
0.000 0.000 5.306
Cs Na O
1 3 1
Cartesian
0.000 0.000 0.000
0.000 2.653 2.653
2.653 0.000 2.653
2.653 2.653 0.000
2.653 2.653 2.653
```

Calculated values
Polymorph energy (0 for the lowest one) (eV per formula unit): 0.00
Formation energy from raw total energies (eV per atom): -0.3305
Total moment (Bohr magnetons per cell): 0.000
Space group: Pm-3m (221)

---

No. 5
Entry from Alexandria via LeMat-Bulk: an optimized crystal structure of La12Pm5Ho2 (GGA-PBE).

The structure in POSCAR format:
```
La12Pm5Ho2
1.0
9.756 -3.819 0.000
9.756 3.819 0.000
-4.462 0.000 9.174
La Pm Ho
12 5 2
Cartesian
-0.852 0.000 1.955
4.264 2.035 4.597
5.964 1.914 1.399
10.786 2.035 4.576
9.085 1.914 7.774
6.569 0.000 6.092
8.481 0.000 3.082
5.964 -1.914 1.399
4.264 -2.035 4.597
9.085 -1.914 7.774
10.786 -2.035 4.576
15.901 0.000 7.219
-2.231 0.000 4.587
2.647 0.000 1.508
2.728 0.000 7.382
12.321 0.000 1.791
12.403 0.000 7.666
9.756 1.528 0.000
9.756 -1.528 0.000
```

Calculated values
Polymorph energy (0 for the lowest one) (eV per formula unit): 1.23
Energy relative to the elements (meV per atom): 149.6
Total moment (Bohr magnetons per cell): 0.000
Space group: C2/m (12)

---

No. 6
Entry from Alexandria via LeMat-Bulk: an optimized crystal structure of FeCu2Si (GGA-PBE).

The structure in POSCAR format:
```
FeCu2Si
1.0
2.626 0.000 0.000
0.000 3.747 0.000
0.000 0.000 4.943
Fe Cu Si
1 2 1
Cartesian
0.000 0.000 0.000
1.313 1.874 1.228
1.313 1.874 3.715
0.000 0.000 2.472
```

Calculated values
Formation energy from raw total energies (eV per atom): 0.0708
Total moment (Bohr magnetons per cell): 2.448
Space group: Pmmm (47)

---

No. 7
Entry from Alexandria via LeMat-Bulk: an optimized crystal structure of CaCrSb3 (GGA-PBE).

The structure in POSCAR format:
```
CaCrSb3
1.0
5.200 0.000 0.000
0.000 5.200 0.000
0.000 0.000 5.200
Ca Cr Sb
1 1 3
Cartesian
0.000 0.000 0.000
2.600 2.600 2.600
0.000 2.600 2.600
2.600 0.000 2.600
2.600 2.600 0.000
```

Calculated values
Polymorph energy (0 for the lowest one) (eV per formula unit): 0.00
Formation energy from raw total energies (eV per atom): 0.0248
Total moment (Bohr magnetons per cell): 2.140
Space group: Pm-3m (221)

---

No. 8
Entry from Alexandria via LeMat-Bulk: an optimized crystal structure of FeCuP2 (GGA-PBE).

The structure in POSCAR format:
```
FeCuP2
1.0
1.668 -1.895 0.000
1.668 1.895 0.000
0.000 0.000 9.235
Fe Cu P
1 1 2
Cartesian
0.000 0.000 0.000
1.668 0.000 7.264
0.000 0.000 5.380
1.668 0.000 1.717
```

Calculated values
Energy relative to the elements (meV per atom): 190.6
Total moment (Bohr magnetons per cell): 2.510
Space group: Cmm2 (35)

---

No. 9
Entry from Alexandria via LeMat-Bulk: an optimized crystal structure of Ac2SnAu2 (GGA-PBE).

The structure in POSCAR format:
```
Ac2SnAu2
1.0
8.343 0.000 0.000
0.000 8.343 0.000
0.000 0.000 4.226
Ac Sn Au
4 2 4
Cartesian
1.473 2.699 0.000
2.699 6.870 0.000
5.645 1.473 0.000
6.870 5.645 0.000
0.000 0.000 2.113
4.172 4.172 2.113
1.033 5.204 2.113
3.139 1.033 2.113
5.204 7.311 2.113
7.311 3.139 2.113
```

Calculated values
Energy relative to the elements (meV per atom): -822.4
Total moment (Bohr magnetons per cell): 0.000
Space group: P4/mbm (127)

---

No. 10
Entry from Alexandria via LeMat-Bulk: an optimized crystal structure of ScTl4Tc (GGA-PBE).

The structure in POSCAR format:
```
ScTl4Tc
1.0
0.000 4.263 4.263
4.263 0.000 4.263
4.263 4.263 0.000
Sc Tl Tc
1 4 1
Cartesian
0.000 0.000 0.000
3.200 3.200 3.200
5.325 5.325 3.200
5.325 3.200 5.325
3.200 5.325 5.325
6.394 6.394 6.394
```

Calculated values
Energy relative to the elements (meV per atom): 767.5
Total moment (Bohr magnetons per cell): 1.907
Space group: F-43m (216)

---

No. 11
Entry from Alexandria via LeMat-Bulk: an optimized crystal structure of Li2LaTa (GGA-PBE).

The structure in POSCAR format:
```
Li2LaTa
1.0
3.042 0.000 0.000
0.000 3.042 0.000
0.000 0.000 9.577
Li La Ta
2 1 1
Cartesian
0.000 0.000 0.000
1.521 1.521 2.066
1.521 1.521 6.626
0.000 0.000 4.173
```

Calculated values
Polymorph energy (0 for the lowest one) (eV per formula unit): 0.00
Energy relative to the elements (meV per atom): 342.0
Total moment (Bohr magnetons per cell): 0.000
Space group: P4mm (99)

---

No. 12
Entry from Alexandria via LeMat-Bulk: an optimized crystal structure of PbBr3F (GGA-PBE).

The structure in POSCAR format:
```
PbBr3F
1.0
5.675 0.000 0.000
0.000 5.675 0.000
0.000 0.000 5.675
Pb Br F
1 3 1
Cartesian
0.000 0.000 0.000
0.000 0.000 2.837
0.000 2.837 0.000
2.837 0.000 0.000
2.837 2.837 2.837
```

Calculated values
Polymorph energy (0 for the lowest one) (eV per formula unit): 0.00
Formation energy from raw total energies (eV per atom): -0.2171
Total moment (Bohr magnetons per cell): 1.077
Space group: Pm-3m (221)

---

No. 13
Entry from Alexandria via LeMat-Bulk: an optimized crystal structure of MnSiI3 (GGA-PBE).

The structure in POSCAR format:
```
MnSiI3
1.0
5.675 0.000 0.000
0.000 5.675 0.000
0.000 0.000 5.675
Mn Si I
1 1 3
Cartesian
0.000 0.000 0.000
2.838 2.838 2.838
0.000 2.838 2.838
2.838 0.000 2.838
2.838 2.838 0.000
```

Calculated values
Polymorph energy (0 for the lowest one) (eV per formula unit): 0.00
Formation energy from raw total energies (eV per atom): 0.4223
Total moment (Bohr magnetons per cell): 5.991
Space group: Pm-3m (221)

---

No. 14
Entry from Alexandria via LeMat-Bulk: an optimized crystal structure of TmRhSe2 (GGA-PBE).

The structure in POSCAR format:
```
TmRhSe2
1.0
1.875 1.083 8.130
-1.875 1.083 8.130
0.000 -2.165 8.130
Tm Rh Se
1 1 2
Cartesian
0.000 0.000 0.000
0.000 0.000 12.195
0.000 0.000 2.783
0.000 0.000 21.607
```

Calculated values
Formation energy from raw total energies (eV per atom): -0.4818
Total moment (Bohr magnetons per cell): 0.000
Space group: R-3m (166)

---

No. 15
Entry from Alexandria via LeMat-Bulk: an optimized crystal structure of CaMg2Al (GGA-PBE).

The structure in POSCAR format:
```
CaMg2Al
1.0
3.552 0.000 0.000
0.000 3.552 0.000
0.000 0.000 7.770
Ca Mg Al
1 2 1
Cartesian
0.000 0.000 0.000
0.000 0.000 4.194
1.776 1.776 2.391
1.776 1.776 5.704
```

Calculated values
Energy relative to the elements (meV per atom): -74.3
Total moment (Bohr magnetons per cell): 0.000
Space group: P4mm (99)

---

No. 16
Entry from Alexandria via LeMat-Bulk: an optimized crystal structure of Dy3FeNi8 (GGA-PBE).

The structure in POSCAR format:
```
Dy3FeNi8
1.0
2.487 1.436 8.127
-2.487 1.436 8.127
0.000 -2.872 8.127
Dy Fe Ni
3 1 8
Cartesian
0.000 0.000 0.000
0.000 0.000 3.162
0.000 0.000 14.917
0.000 0.000 11.885
0.000 -1.445 5.519
-1.252 0.723 5.519
-1.236 -0.713 9.658
0.000 0.000 7.582
1.252 0.723 5.519
1.236 -0.713 9.658
0.000 1.427 9.658
0.000 0.000 19.788
```

Calculated values
Energy relative to the elements (meV per atom): -322.2
Total moment (Bohr magnetons per cell): 4.339
Space group: R3m (160)

---

No. 17
Entry from Alexandria via LeMat-Bulk: an optimized crystal structure of Sm2MgSe4 (GGA-PBE).

The structure in POSCAR format:
```
Sm2MgSe4
1.0
0.000 5.940 5.940
5.940 0.000 5.940
5.940 5.940 0.000
Sm Mg Se
4 2 8
Cartesian
0.000 0.000 0.000
2.970 2.970 0.000
2.970 0.000 2.970
0.000 2.970 2.970
4.455 4.455 4.455
7.424 7.424 7.424
8.948 5.901 5.901
2.931 2.931 2.931
5.979 5.979 2.931
5.979 2.931 5.979
5.901 8.948 5.901
5.901 5.901 8.948
8.948 8.948 8.948
2.931 5.979 5.979
```

Calculated values
Polymorph energy (0 for the lowest one) (eV per formula unit): 0.00
Formation energy from raw total energies (eV per atom): -1.6763
Total moment (Bohr magnetons per cell): 0.000
Space group: Fd-3m (227)

---

No. 18
Entry from Alexandria via LeMat-Bulk: an optimized crystal structure of NiHS (GGA-PBE).

The structure in POSCAR format:
```
NiHS
1.0
-1.463 1.961 2.887
1.463 -1.961 2.887
1.463 1.961 -2.887
Ni H S
1 1 1
Cartesian
0.000 0.000 0.000
1.463 0.000 0.713
0.000 1.961 1.142
```

Calculated values
Total moment (Bohr magnetons per cell): 0.000
Space group: Imm2 (44)
Total DFT energy (no corrections) (eV per cell): -13.34

---

No. 19
Entry from Alexandria via LeMat-Bulk: an optimized crystal structure of BiSe (GGA-PBE).

The structure in POSCAR format:
```
BiSe
1.0
-5.819 5.819 2.039
5.819 -5.819 2.039
5.819 5.819 -2.039
Bi Se
4 4
Cartesian
7.453 1.537 0.000
1.537 4.184 0.000
4.281 1.634 2.039
-1.634 4.281 2.039
2.361 1.273 0.000
4.545 -3.458 2.039
1.273 9.276 0.000
3.458 4.545 2.039
```

Calculated values
Polymorph energy (0 for the lowest one) (eV per formula unit): 0.42
Formation energy from raw total energies (eV per atom): -0.1137
Total moment (Bohr magnetons per cell): 0.000
Space group: I4/m (87)

---

No. 20
Entry from Alexandria via LeMat-Bulk: an optimized crystal structure of NiPtAu2 (GGA-PBE).

The structure in POSCAR format:
```
NiPtAu2
1.0
-1.433 2.361 4.701
1.433 -2.361 4.701
1.433 2.361 -4.701
Ni Pt Au
1 1 2
Cartesian
0.000 0.000 0.000
1.433 0.000 2.108
0.000 0.000 4.599
0.000 2.361 2.442
```

Calculated values
Polymorph energy (0 for the lowest one) (eV per formula unit): 0.31
Energy relative to the elements (meV per atom): 95.9
Total moment (Bohr magnetons per cell): 0.677
Space group: Imm2 (44)